(w)
AlCrTe | GGA-PBE | relaxed

a b c (Å): 4.5223 4.5223 3.3910
angles (deg): 90.00 90.00 120.00
Space group P-6m2 (No. 187)
Inequivalent atoms, fractional coordinates:
Al (0.0000, 0.0000, 0.0000) (multiplicity 1)
Cr (0.6667, 0.3333, 0.5000) (multiplicity 1)
Te (0.3333, 0.6667, 0.5000) (multiplicity 1)

Output
volume = 20.02 Å³/atom
mass density = 5.7 g/cm³

=====

(x)
AlCrTe | GGA-PBE | relaxed

a b c (Å): 3.2935 3.2935 12.2584
angles (deg): 90.00 90.00 120.00
Space group P-6m2 (No. 187)
Inequivalent atoms, fractional coordinates:
Al (0.0000, 0.0000, 0.1461) (multiplicity 2)
Cr (0.6667, 0.3333, 0.0000) (multiplicity 1)
Cr (0.6667, 0.3333, 0.5000) (multiplicity 1)
Te (0.3333, 0.6667, 0.3532) (multiplicity 2)

Output
volume = 19.19 Å³/atom
mass density = 6.0 g/cm³

=====

Which one is most stable, and which one is least stable? (x) is the most stable of them, while (w) is the least stable.

=====

(w)
AlCrTe | GGA-PBE | relaxed

a b c (Å): 3.2636 3.2636 6.0953
angles (deg): 90.00 90.00 120.00
Space group P3m1 (No. 156)
Inequivalent atoms, fractional coordinates:
Al (0.0000, 0.0000, 0.0000) (multiplicity 1)
Cr (0.6667, 0.3333, 0.2904) (multiplicity 1)
Te (0.3333, 0.6667, 0.5814) (multiplicity 1)

Output
volume = 18.74 Å³/atom
mass density = 6.1 g/cm³

=====

(x)
AlCrTe | GGA-PBE | relaxed

a b c (Å): 3.153 3.153 11.540
angles (deg): 90.00 90.00 90.00
Space group I4mm (No. 107)
Inequivalent atoms, fractional coordinates:
Al (0.000, 0.000, 0.000) (multiplicity 2)
Cr (0.000, 0.000, 0.375) (multiplicity 2)
Te (0.000, 0.000, 0.744) (multiplicity 2)

Output
volume = 19.12 Å³/atom
mass density = 6.0 g/cm³

=====

(y)
AlCrTe | GGA-PBE | relaxed

a b c (Å): 6.331 6.331 6.331
angles (deg): 90.00 90.00 90.00
Space group F-43m (No. 216)
Inequivalent atoms, fractional coordinates:
Al (0.000, 0.000, 0.000) (multiplicity 4)
Cr (0.250, 0.250, 0.250) (multiplicity 4)
Te (0.000, 0.000, 0.500) (multiplicity 4)

Output
volume = 21.14 Å³/atom
mass density = 5.4 g/cm³

=====

Which one is most stable, and which one is least stable? (w) is the most stable of them, while (x) is the least stable.

=====

(w)
AlCrTe4 | GGA-PBE | relaxed

a b c (Å): 6.602 3.842 6.896
angles (deg): 90.00 107.34 90.00
Space group P2/m (No. 10)
Inequivalent atoms, fractional coordinates:
Al (0.000, 0.000, 0.000) (multiplicity 1)
Cr (0.000, 0.500, 0.500) (multiplicity 1)
Te (0.245, 0.000, 0.731) (multiplicity 2)
Te (0.250, 0.500, 0.254) (multiplicity 2)

Output
volume = 27.83 Å³/atom
mass density = 5.9 g/cm³

=====

(x)
AlCrTe4 | GGA-PBE | relaxed

a b c (Å): 9.022 9.022 9.022
angles (deg): 90.00 90.00 90.00
Space group F-43m (No. 216)
Inequivalent atoms, fractional coordinates:
Al (0.000, 0.000, 0.000) (multiplicity 4)
Cr (0.250, 0.250, 0.750) (multiplicity 4)
Te (0.125, 0.125, 0.375) (multiplicity 16)

Output
volume = 30.60 Å³/atom
mass density = 5.3 g/cm³

=====

Which one is most stable, and which one is least stable? (w) is the most stable of them, while (x) is the least stable.